Entry 1:
The following is a GGA-PBE calculation of a geometry-optimized NaCrRhS3 structure, from Alexandria via LeMat-Bulk.

ΔE_f (raw) ... -0.655 eV/atom

abc: 7.4274 3.4890 8.7075
angles: 90.00 106.78 90.00
Fractional positions:
Na (0.2156, 0.2500, 0.2495)
Na (0.7844, 0.7500, 0.7505)
Cr (0.3260, 0.7500, 0.8323)
Cr (0.6740, 0.2500, 0.1677)
Rh (0.1196, 0.2500, 0.5952)
Rh (0.8804, 0.7500, 0.4048)
S (0.1181, 0.2500, 0.8607)
S (0.3009, 0.7500, 0.5614)
S (0.4406, 0.7500, 0.1239)
S (0.5594, 0.2500, 0.8761)
S (0.6991, 0.2500, 0.4386)
S (0.8819, 0.7500, 0.1393)

Entry 2:
The following is a GGA-PBE calculation of a geometry-optimized BaSCl2F structure, from Alexandria via LeMat-Bulk.

ΔE_f (raw) ... -1.168 eV/atom

abc: 5.5661 5.5661 3.8455
angles: 90.00 90.00 90.00
Fractional positions:
Ba (0.0000, 0.0000, 0.0000)
S (0.5000, 0.5000, 0.0000)
Cl (0.0000, 0.5000, 0.5000)
Cl (0.5000, 0.0000, 0.5000)
F (0.5000, 0.5000, 0.5000)

Entry 3:
The following is a GGA-PBE calculation of a geometry-optimized LaTc4Ir structure, from Alexandria via LeMat-Bulk.

Calculated formation energy ... 0.371 eV per atom

abc: 5.2990 5.2990 5.2990
angles: 60.00 60.00 60.00
Fractional positions:
La (0.0000, 0.0000, 0.0000)
Tc (0.1280, 0.6240, 0.6240)
Tc (0.6240, 0.1280, 0.6240)
Tc (0.6240, 0.6240, 0.1280)
Tc (0.6240, 0.6240, 0.6240)
Ir (0.2500, 0.2500, 0.2500)